The following is a PBE calculation of BaIn2Hg4Bi after structural relaxation, from Alexandria.

total magnetic moment: 0.00 μB per formula unit
raw total energy: -1.765 eV/atom
mass density: 9.219 Mg/m³
DFT formation energy: -204 meV per atom

```
8
Lattice="5.892 0.000 0.000 0.000 5.892 0.000 0.000 0.000 7.151" Properties=species:S:1:pos:R:3 pbc="T T T"
Ba 0.000 0.000 0.000
In 2.946 2.946 1.621
In 2.946 2.946 5.531
Hg 0.000 2.946 1.998
Hg 0.000 2.946 5.153
Hg 2.946 0.000 1.998
Hg 2.946 0.000 5.153
Bi 0.000 0.000 3.576
```

The following is a PBE calculation of Ca2HRuO6 after structural relaxation, from Alexandria.

total magnetic moment: 1.04 μB per formula unit
raw total energy: -6.301 eV/atom
mass density: 3.689 Mg/m³

```
20
Lattice="5.038 0.000 0.000 0.000 8.085 0.000 -3.020 0.000 6.150" Properties=species:S:1:pos:R:3 pbc="T T T"
Ca -0.660 1.469 2.334
Ca -2.170 2.573 5.409
Ca 4.188 5.512 0.741
Ca 2.678 6.616 3.815
H 0.000 0.000 0.000
H -1.510 4.042 3.075
Ru 2.519 0.000 0.000
Ru 1.009 4.042 3.075
O -1.131 0.484 4.414
O 0.379 3.558 1.339
O 0.766 0.616 0.691
O -0.744 3.426 3.766
O 0.346 5.753 2.844
O -1.164 6.374 5.919
O 3.182 1.711 0.231
O 1.672 2.332 3.306
O 2.762 4.659 2.384
O 1.252 7.469 5.459
O 1.639 4.527 4.811
O 3.149 7.601 1.736
```

The following is a PBE calculation of TlIr2Os after structural relaxation, from Alexandria.

total magnetic moment: 0.00 μB per formula unit
raw total energy: -7.297 eV/atom
mass density: 19.642 Mg/m³
offset from the most stable computed form: 162 meV/atom
DFT formation energy: 533 meV per atom

```
4
Lattice="4.595 -1.431 0.000 4.595 1.431 0.000 -0.815 0.000 5.008" Properties=species:S:1:pos:R:3 pbc="T T T"
Tl 0.000 0.000 0.000
Ir 1.620 0.000 3.713
Ir 4.173 0.000 2.459
Os 6.730 0.000 1.544
```

The following is a PBE calculation of Ca4Sc5 after structural relaxation, from Alexandria.

total magnetic moment: 2.31 μB per formula unit
raw total energy: -4.110 eV/atom
mass density: 2.351 Mg/m³
DFT formation energy: 297 meV per atom

```
18
Lattice="9.719 0.000 0.000 -4.860 8.417 0.000 0.000 0.000 6.650" Properties=species:S:1:pos:R:3 pbc="T T T"
Ca 0.000 0.000 0.000
Ca 0.000 0.000 3.325
Ca -1.511 2.617 1.663
Ca -3.349 5.800 4.988
Ca 3.022 0.000 1.663
Ca 1.511 2.617 4.988
Ca 6.698 0.000 4.988
Ca 3.349 5.800 1.663
Sc -1.821 3.155 4.988
Sc -3.038 5.263 1.663
Sc 0.000 5.612 0.000
Sc 0.000 5.612 3.325
Sc 3.643 0.000 4.988
Sc 1.821 3.155 1.663
Sc 6.077 0.000 1.663
Sc 3.038 5.263 4.988
Sc 4.860 2.806 0.000
Sc 4.860 2.806 3.325
```